Hf3Cu2Ir2 after structural relaxation, computed with PBE.

The value obtained for the density is 13.351 g cm⁻³. The formation energy from the elements comes out at -0.376 eV per atom.

CIF file:
```
data_Hf3Cu2Ir2
_cell_length_a 7.801
_cell_length_b 4.515
_cell_length_c 7.827
_cell_angle_alpha 90.00
_cell_angle_beta 109.13
_cell_angle_gamma 90.00
_symmetry_space_group_name_H-M 'C 1 2/m 1'
_symmetry_Int_Tables_number 12
loop_
_symmetry_equiv_pos_as_xyz
'x,y,z'
'-x,-y,-z'
'-x,y,-z'
'x,-y,z'
'x+1/2,y+1/2,z'
'-x+1/2,-y+1/2,-z'
'-x+1/2,y+1/2,-z'
'x+1/2,-y+1/2,z'
loop_
_atom_site_label
_atom_site_type_symbol
_atom_site_fract_x
_atom_site_fract_y
_atom_site_fract_z
_atom_site_occupancy
Hf1 Hf 0.000 0.000 0.000 1
Hf2 Hf 0.242 0.000 0.724 1
Cu1 Cu 0.131 0.500 0.892 1
Ir1 Ir 0.119 0.000 0.358 1
```



Pm2Nd5Ag4 after structural relaxation, computed with PBE.

The value obtained for the density is 7.297 g cm⁻³. The formation energy from the elements comes out at 0.046 eV per atom.

CIF file:
```
data_Pm2Nd5Ag4
_cell_length_a 23.587
_cell_length_b 3.474
_cell_length_c 8.051
_cell_angle_alpha 90.00
_cell_angle_beta 95.55
_cell_angle_gamma 90.00
_symmetry_space_group_name_H-M 'C 1 2/m 1'
_symmetry_Int_Tables_number 12
loop_
_symmetry_equiv_pos_as_xyz
'x,y,z'
'-x,-y,-z'
'-x,y,-z'
'x,-y,z'
'x+1/2,y+1/2,z'
'-x+1/2,-y+1/2,-z'
'-x+1/2,y+1/2,-z'
'x+1/2,-y+1/2,z'
loop_
_atom_site_label
_atom_site_type_symbol
_atom_site_fract_x
_atom_site_fract_y
_atom_site_fract_z
_atom_site_occupancy
Pm1 Pm 0.077 0.000 0.179 1
Nd1 Nd 0.000 0.500 0.500 1
Nd2 Nd 0.155 0.000 0.577 1
Nd3 Nd 0.225 0.000 0.197 1
Ag1 Ag 0.054 0.000 0.803 1
Ag2 Ag 0.150 0.500 0.924 1
```



Nd4ScHg after structural relaxation, computed with PBE.

The value obtained for the density is 7.329 g cm⁻³. The formation energy from the elements comes out at -0.125 eV per atom. The energy relative to the lowest polymorph listed for this composition comes out at 0 meV/atom.

CIF file:
```
data_Nd4ScHg
_cell_length_a 3.681
_cell_length_b 3.681
_cell_length_c 13.754
_cell_angle_alpha 90.00
_cell_angle_beta 90.00
_cell_angle_gamma 90.00
_symmetry_space_group_name_H-M 'P 4/m m m'
_symmetry_Int_Tables_number 123
_symmetry_space_group_name_Hall '-P 4 2'
loop_
_atom_site_label
_atom_site_type_symbol
_atom_site_fract_x
_atom_site_fract_y
_atom_site_fract_z
_atom_site_occupancy
Nd1 Nd 0.000 0.000 0.150 1
Nd2 Nd 0.500 0.500 0.336 1
Sc1 Sc 0.000 0.000 0.500 1
Hg1 Hg 0.500 0.500 0.000 1
```



FeBC2 after structural relaxation, computed with PBE.

The value obtained for the density is 5.056 g cm⁻³. The formation energy from the elements comes out at 0.435 eV per atom.

CIF file:
```
data_FeBC2
_cell_length_a 2.6653
_cell_length_b 2.6653
_cell_length_c 14.5220
_cell_angle_alpha 90.00
_cell_angle_beta 90.00
_cell_angle_gamma 120.00
_symmetry_space_group_name_H-M 'R 3 m'
_symmetry_Int_Tables_number 160
_symmetry_space_group_name_Hall 'R 3 -2"'
loop_
_atom_site_label
_atom_site_type_symbol
_atom_site_fract_x
_atom_site_fract_y
_atom_site_fract_z
_atom_site_occupancy
Fe1 Fe 0.0000 0.0000 0.0000 1
B1 B 0.0000 0.0000 0.8570 1
C1 C 0.0000 0.0000 0.5616 1
C2 C 0.0000 0.0000 0.7479 1
```



Dy5ScAl6 after structural relaxation, computed with PBE.

The value obtained for the density is 6.229 g cm⁻³. The formation energy from the elements comes out at -0.400 eV per atom.

CIF file:
```
data_Dy5ScAl6
_cell_length_a 15.992
_cell_length_b 7.063
_cell_length_c 5.062
_cell_angle_alpha 90.00
_cell_angle_beta 108.11
_cell_angle_gamma 90.00
_symmetry_space_group_name_H-M 'C 1 2/m 1'
_symmetry_Int_Tables_number 12
loop_
_symmetry_equiv_pos_as_xyz
'x,y,z'
'-x,-y,-z'
'-x,y,-z'
'x,-y,z'
'x+1/2,y+1/2,z'
'-x+1/2,-y+1/2,-z'
'-x+1/2,y+1/2,-z'
'x+1/2,-y+1/2,z'
loop_
_atom_site_label
_atom_site_type_symbol
_atom_site_fract_x
_atom_site_fract_y
_atom_site_fract_z
_atom_site_occupancy
Dy1 Dy 0.000 0.000 0.000 1
Dy2 Dy 0.163 0.000 0.664 1
Dy3 Dy 0.173 0.500 0.675 1
Sc1 Sc 0.000 0.500 0.000 1
Al1 Al 0.000 0.272 0.500 1
Al2 Al 0.162 0.262 0.163 1
```



KAg2Sb2 after structural relaxation, computed with PBE.

The value obtained for the density is 5.728 g cm⁻³. The energy relative to the lowest polymorph listed for this composition comes out at 136 meV/atom. The energy relative to the elements, uncorrected comes out at -0.07 eV per atom.

CIF file:
```
data_KAg2Sb2
_cell_length_a 5.209
_cell_length_b 5.209
_cell_length_c 10.647
_cell_angle_alpha 90.00
_cell_angle_beta 90.00
_cell_angle_gamma 90.00
_symmetry_space_group_name_H-M 'I 4/m m m'
_symmetry_Int_Tables_number 139
_symmetry_space_group_name_Hall '-I 4 2'
loop_
_atom_site_label
_atom_site_type_symbol
_atom_site_fract_x
_atom_site_fract_y
_atom_site_fract_z
_atom_site_occupancy
K1 K 0.000 0.000 0.000 1
Ag1 Ag 0.000 0.000 0.359 1
Sb1 Sb 0.000 0.500 0.250 1
```



Sn2GeBi2 after structural relaxation, computed with PBE.

The value obtained for the density is 8.005 g cm⁻³. The formation energy from the elements comes out at 0.258 eV per atom. The energy relative to the lowest polymorph listed for this composition comes out at 29 meV/atom.

CIF file:
```
data_Sn2GeBi2
_cell_length_a 8.357
_cell_length_b 8.357
_cell_length_c 4.324
_cell_angle_alpha 90.00
_cell_angle_beta 90.00
_cell_angle_gamma 90.00
_symmetry_space_group_name_H-M 'P 4/m b m'
_symmetry_Int_Tables_number 127
_symmetry_space_group_name_Hall '-P 4 2ab'
loop_
_atom_site_label
_atom_site_type_symbol
_atom_site_fract_x
_atom_site_fract_y
_atom_site_fract_z
_atom_site_occupancy
Sn1 Sn 0.139 0.361 0.000 1
Ge1 Ge 0.000 0.000 0.500 1
Bi1 Bi 0.166 0.666 0.500 1
```



Ca2LaCo after structural relaxation, computed with PBE.

The value obtained for the density is 3.640 g cm⁻³. The formation energy from the elements comes out at 0.038 eV per atom. The energy relative to the lowest polymorph listed for this composition comes out at 2 meV/atom.

CIF file:
```
data_Ca2LaCo
_cell_length_a 4.101
_cell_length_b 3.718
_cell_length_c 8.565
_cell_angle_alpha 90.00
_cell_angle_beta 103.84
_cell_angle_gamma 90.00
_symmetry_space_group_name_H-M 'P 1 m 1'
_symmetry_Int_Tables_number 6
loop_
_symmetry_equiv_pos_as_xyz
'x,y,z'
'x,-y,z'
loop_
_atom_site_label
_atom_site_type_symbol
_atom_site_fract_x
_atom_site_fract_y
_atom_site_fract_z
_atom_site_occupancy
Ca1 Ca 0.000 0.000 0.000 1
Ca2 Ca 0.328 0.500 0.656 1
La1 La 0.654 0.500 0.309 1
Co1 Co 0.177 0.000 0.358 1
```



NdGa3NiRu after structural relaxation, computed with PBE.

The value obtained for the density is 7.288 g cm⁻³. The formation energy from the elements comes out at -0.337 eV per atom.

CIF file:
```
data_NdGa3NiRu
_cell_length_a 7.494
_cell_length_b 10.714
_cell_length_c 5.825
_cell_angle_alpha 90.00
_cell_angle_beta 90.00
_cell_angle_gamma 90.00
_symmetry_space_group_name_H-M 'C m c m'
_symmetry_Int_Tables_number 63
_symmetry_space_group_name_Hall '-C 2c 2'
loop_
_atom_site_label
_atom_site_type_symbol
_atom_site_fract_x
_atom_site_fract_y
_atom_site_fract_z
_atom_site_occupancy
Nd1 Nd 0.000 0.219 0.250 1
Ga1 Ga 0.000 0.301 0.750 1
Ga2 Ga 0.248 0.000 0.000 1
Ni1 Ni 0.000 0.485 0.250 1
Ru1 Ru 0.000 0.078 0.750 1
```



TbPm2USb4 after structural relaxation, computed with PBE.

The value obtained for the density is 7.875 g cm⁻³. The energy relative to the elements, uncorrected comes out at -0.92 eV per atom.

CIF file:
```
data_TbPm2USb4
_cell_length_a 7.681
_cell_length_b 4.418
_cell_length_c 7.718
_cell_angle_alpha 90.00
_cell_angle_beta 109.07
_cell_angle_gamma 90.00
_symmetry_space_group_name_H-M 'P 1 2/m 1'
_symmetry_Int_Tables_number 10
loop_
_symmetry_equiv_pos_as_xyz
'x,y,z'
'-x,-y,-z'
'-x,y,-z'
'x,-y,z'
loop_
_atom_site_label
_atom_site_type_symbol
_atom_site_fract_x
_atom_site_fract_y
_atom_site_fract_z
_atom_site_occupancy
Tb1 Tb 0.000 0.000 0.000 1
Pm1 Pm 0.500 0.000 0.500 1
Pm2 Pm 0.500 0.500 0.000 1
U1 U 0.000 0.500 0.500 1
Sb1 Sb 0.242 0.500 0.250 1
Sb2 Sb 0.244 0.000 0.748 1
```



TlCrPb2 after structural relaxation, computed with PBE.

The value obtained for the density is 10.600 g cm⁻³. The formation energy from the elements comes out at 0.358 eV per atom. The energy relative to the lowest polymorph listed for this composition comes out at 67 meV/atom.

CIF file:
```
data_TlCrPb2
_cell_length_a 3.464
_cell_length_b 3.464
_cell_length_c 8.758
_cell_angle_alpha 90.00
_cell_angle_beta 90.00
_cell_angle_gamma 90.00
_symmetry_space_group_name_H-M 'P 4 m m'
_symmetry_Int_Tables_number 99
loop_
_symmetry_equiv_pos_as_xyz
'x,y,z'
'-y,x,z'
'-x,-y,z'
'y,-x,z'
'-x,y,z'
'y,x,z'
'x,-y,z'
'-y,-x,z'
loop_
_atom_site_label
_atom_site_type_symbol
_atom_site_fract_x
_atom_site_fract_y
_atom_site_fract_z
_atom_site_occupancy
Tl1 Tl 0.000 0.000 0.000 1
Cr1 Cr 0.500 0.500 0.203 1
Pb1 Pb 0.000 0.000 0.418 1
Pb2 Pb 0.500 0.500 0.719 1
```



V3ReW3 after structural relaxation, computed with PBE.

The value obtained for the density is 14.274 g cm⁻³. The formation energy from the elements comes out at -0.173 eV per atom.

CIF file:
```
data_V3ReW3
_cell_length_a 6.747
_cell_length_b 4.380
_cell_length_c 7.568
_cell_angle_alpha 90.00
_cell_angle_beta 112.12
_cell_angle_gamma 90.00
_symmetry_space_group_name_H-M 'P 1 21/m 1'
_symmetry_Int_Tables_number 11
loop_
_symmetry_equiv_pos_as_xyz
'x,y,z'
'-x,-y,-z'
'-x,y+1/2,-z'
'x,-y+1/2,z'
loop_
_atom_site_label
_atom_site_type_symbol
_atom_site_fract_x
_atom_site_fract_y
_atom_site_fract_z
_atom_site_occupancy
V1 V 0.071 0.250 0.104 1
V2 V 0.073 0.750 0.611 1
V3 V 0.355 0.750 0.033 1
Re1 Re 0.213 0.250 0.824 1
W1 W 0.207 0.750 0.316 1
W2 W 0.353 0.250 0.536 1
W3 W 0.499 0.250 0.245 1
```



Li2TaAs after structural relaxation, computed with PBE.

The value obtained for the density is 6.564 g cm⁻³. The formation energy from the elements comes out at -0.081 eV per atom.

CIF file:
```
data_Li2TaAs
_cell_length_a 3.400
_cell_length_b 3.400
_cell_length_c 5.903
_cell_angle_alpha 90.00
_cell_angle_beta 90.00
_cell_angle_gamma 90.00
_symmetry_space_group_name_H-M 'P 4 m m'
_symmetry_Int_Tables_number 99
loop_
_symmetry_equiv_pos_as_xyz
'x,y,z'
'-y,x,z'
'-x,-y,z'
'y,-x,z'
'-x,y,z'
'y,x,z'
'x,-y,z'
'-y,-x,z'
loop_
_atom_site_label
_atom_site_type_symbol
_atom_site_fract_x
_atom_site_fract_y
_atom_site_fract_z
_atom_site_occupancy
Li1 Li 0.000 0.000 0.000 1
Li2 Li 0.500 0.500 0.233 1
Ta1 Ta 0.000 0.000 0.516 1
As1 As 0.500 0.500 0.699 1
```